Density functional theory data (PBE) for an optimized crystal structure of NbV2B4.

Results
* M_tot: 0.0 Bohr magnetons per cell
* energy of formation from the pure elements: -0.793 eV/atom
* raw total energy: -8.652 eV/atom

Structure (CIF):
```
data_NbV2B4
_chemical_formula_sum 'Nb2 V4 B8'
_cell_length_a 3.0420
_cell_length_b 3.1647
_cell_length_c 13.4564
_cell_angle_alpha 90.00
_cell_angle_beta 90.00
_cell_angle_gamma 90.00
_space_group_name_H-M_alt 'I m m m'
_space_group_IT_number 71
_space_group_name_Hall '-I 2 2'
loop_
_atom_site_label
_atom_site_fract_x
_atom_site_fract_y
_atom_site_fract_z
Nb1 0.0000 0.0000 0.0000
V1 0.0000 0.5000 0.3116
B1 0.0000 0.0000 0.4303
B2 0.0000 0.5000 0.1405
```



Density functional theory data (PBE) for an optimized crystal structure of DyTePb.

Results
* M_tot: 0.0 Bohr magnetons per cell
* raw total energy: -4.431 eV/atom

Structure (CIF):
```
data_DyTePb
_chemical_formula_sum 'Dy3 Te3 Pb3'
_cell_length_a 8.8937
_cell_length_b 8.8937
_cell_length_c 3.9660
_cell_angle_alpha 90.00
_cell_angle_beta 90.00
_cell_angle_gamma 120.00
_space_group_name_H-M_alt 'P -6 2 m'
_space_group_IT_number 189
_space_group_name_Hall 'P -6 -2'
loop_
_atom_site_label
_atom_site_fract_x
_atom_site_fract_y
_atom_site_fract_z
Dy1 0.0000 0.0000 0.0000
Dy2 0.3333 0.6667 0.5000
Te1 0.0000 0.7344 0.5000
Pb1 0.0000 0.4347 0.0000
```